# Mn4FeO8 (PBE with a Hubbard U, optimized geometry)
# VASP energy = -7.14 eV/atom
# Spin magnetization = 16.0 μB/f.u.
data_Mn4FeO8
_space_group_name_H-M_alt 'C 1 2/m 1'
_space_group_IT_number 12
_cell_length_a 10.350
_cell_length_b 5.805
_cell_length_c 6.107
_cell_angle_alpha 90.00
_cell_angle_beta 122.57
_cell_angle_gamma 90.00
loop_
_space_group_symop_operation_xyz
'x,y,z'
'-x,-y,-z'
'-x,y,-z'
'x,-y,z'
'x+1/2,y+1/2,z'
'-x+1/2,-y+1/2,-z'
'-x+1/2,y+1/2,-z'
'x+1/2,-y+1/2,z'
loop_
_atom_site_label
_atom_site_type_symbol
_atom_site_fract_x
_atom_site_fract_y
_atom_site_fract_z
Mn1 Mn 0.000 0.000 0.000
Mn2 Mn 0.000 0.500 0.500
Mn3 Mn 0.250 0.250 0.000
Fe1 Fe 0.000 0.500 0.000
O1 O 0.027 0.254 0.805
O2 O 0.227 0.500 0.188
O3 O 0.245 0.500 0.785